# SbTeAs2 PBE relaxed
# - Final energy: -62.10 eV per cell
# - M_tot: 0.000 μB/f.u.
# - E above lowest polymorph: 0.1882 eV per atom
# - Formation energy from raw total energies: 259 meV per atom
# - D(E_F): 0.511 states/eV/atom
data_SbTeAs2
_chemical_formula_sum 'Sb4 Te4 As8'
_space_group_name_H-M_alt 'I -4 2 d'
_space_group_IT_number 122
_space_group_name_Hall 'I -4 2bw'
_cell_length_a 7.264
_cell_length_b 7.264
_cell_length_c 9.399
_cell_angle_alpha 90.00
_cell_angle_beta 90.00
_cell_angle_gamma 90.00
loop_
_atom_site_label
_atom_site_fract_x
_atom_site_fract_y
_atom_site_fract_z
Sb1 0.000 0.000 0.000
Te1 0.000 0.000 0.500
As1 0.239 0.250 0.125


# Ba6Tl2Ag PBE relaxed
# - Final energy: -42.04 eV per cell
# - M_tot: 0.970 μB/f.u.
# - E above lowest polymorph: 0.0000 eV per atom
# - D(E_F): 1.292 states/eV/atom
data_Ba6Tl2Ag
_chemical_formula_sum 'Ba12 Tl4 Ag2'
_space_group_name_H-M_alt 'P 1 21/c 1'
_space_group_IT_number 14
_space_group_name_Hall '-P 2ybc'
_cell_length_a 8.138
_cell_length_b 9.185
_cell_length_c 14.413
_cell_angle_alpha 90.00
_cell_angle_beta 123.35
_cell_angle_gamma 90.00
loop_
_atom_site_label
_atom_site_fract_x
_atom_site_fract_y
_atom_site_fract_z
Ba1 0.108 0.037 0.243
Ba2 0.231 0.681 0.070
Ba3 0.391 0.177 0.066
Tl1 0.298 0.111 0.753
Ag1 0.500 0.000 0.500


# KNbS3 PBE relaxed
# - Final energy: -28.18 eV per cell
# - M_tot: 0.000 μB/f.u.
# - E above lowest polymorph: 0.0691 eV per atom
# - Formation energy from raw total energies: -927 meV per atom
# - D(E_F): 0.485 states/eV/atom
data_KNbS3
_chemical_formula_sum 'K1 Nb1 S3'
_space_group_name_H-M_alt 'P m -3 m'
_space_group_IT_number 221
_space_group_name_Hall '-P 4 2 3'
_cell_length_a 4.877
_cell_length_b 4.877
_cell_length_c 4.877
_cell_angle_alpha 90.00
_cell_angle_beta 90.00
_cell_angle_gamma 90.00
loop_
_atom_site_label
_atom_site_fract_x
_atom_site_fract_y
_atom_site_fract_z
K1 0.000 0.000 0.000
Nb1 0.500 0.500 0.500
S1 0.000 0.500 0.500